[1]
Computed, not measured: Sn2Bi2Pt7Au after structural relaxation at the PBE level of DFT.

Output
Total DFT energy (no corrections) in eV/cell: -63.821
Space-group type: No. 139
Spin magnetization in μB/atom: 0.00
Energy relative to the elements in eV/atom: -0.21
Density of states at the Fermi level in states/eV per atom: 0.5336

Cell lengths 16.651, 16.651, 16.651 Å; angles 166.30, 166.30, 19.42 degrees
Fractional coordinates of all 12 atoms:
Sn  0.120  0.120  0.000
Sn  0.880  0.880  0.000
Bi  0.286  0.286  0.000
Bi  0.714  0.714  0.000
Pt  0.000  0.000  0.000
Pt  0.064  0.564  0.500
Pt  0.200  0.200  0.000
Pt  0.436  0.936  0.500
Pt  0.564  0.064  0.500
Pt  0.800  0.800  0.000
Pt  0.936  0.436  0.500
Au  0.500  0.500  0.000

***

[2]
Computed, not measured: Sn2Bi2PtAu2 after structural relaxation at the PBE level of DFT.

Output
Total DFT energy (no corrections) in eV/cell: -29.557
Space-group type: No. 2
Spin magnetization in μB/atom: 0.00
Energy relative to the elements in eV/atom: -0.17
Density of states at the Fermi level in states/eV per atom: 0.3595

Cell lengths 3.982, 6.846, 6.928 Å; angles 86.57, 74.18, 73.44 degrees
Fractional coordinates of all 7 atoms:
Sn  0.097  0.229  0.081
Sn  0.903  0.771  0.919
Bi  0.223  0.675  0.388
Bi  0.777  0.325  0.612
Pt  0.500  0.500  0.000
Au  0.387  0.003  0.712
Au  0.613  0.997  0.288

***

[3]
Computed, not measured: Sr2Bi4Pt3Au after structural relaxation at the PBE level of DFT.

Output
Total DFT energy (no corrections) in eV/cell: -45.678
Space-group type: No. 115
Spin magnetization in μB/atom: 0.00
Energy relative to the elements in eV/atom: -0.54
Density of states at the Fermi level in states/eV per atom: 0.4094

Cell lengths 4.958, 4.958, 11.005 Å; angles 90.00, 90.00, 90.00 degrees
Fractional coordinates of all 10 atoms:
Sr  0.000  0.500  0.232
Sr  0.500  0.000  0.768
Bi  0.000  0.000  0.500
Bi  0.000  0.500  0.870
Bi  0.500  0.000  0.130
Bi  0.500  0.500  0.500
Pt  0.000  0.000  0.000
Pt  0.000  0.500  0.624
Pt  0.500  0.000  0.376
Au  0.500  0.500  0.000

***

[4]
Computed, not measured: TbBiPtAu after structural relaxation at the PBE level of DFT.

Output
Total DFT energy (no corrections) in eV/cell: -20.477
Space-group type: No. 216
Spin magnetization in μB/atom: 0.00
Energy relative to the elements in eV/atom: -0.66
Density of states at the Fermi level in states/eV per atom: 0.5868

Cell lengths 5.016, 5.016, 5.016 Å; angles 60.00, 60.00, 60.00 degrees
Fractional coordinates of all 4 atoms:
Tb  0.000  0.000  0.000
Bi  0.500  0.500  0.500
Pt  0.750  0.750  0.750
Au  0.250  0.250  0.250

***

[5]
Computed, not measured: ThBiPtAu after structural relaxation at the PBE level of DFT.

Output
Total DFT energy (no corrections) in eV/cell: -23.322
Space-group type: No. 216
Spin magnetization in μB/atom: 0.00
Energy relative to the elements in eV/atom: -0.68
Density of states at the Fermi level in states/eV per atom: 0.3219

Cell lengths 5.110, 5.110, 5.110 Å; angles 60.00, 60.00, 60.00 degrees
Fractional coordinates of all 4 atoms:
Th  0.000  0.000  0.000
Bi  0.500  0.500  0.500
Pt  0.750  0.750  0.750
Au  0.250  0.250  0.250

***

[6]
Computed, not measured: Pu8Bi5Au after structural relaxation at the PBE level of DFT.

Output
Total DFT energy (no corrections) in eV/cell: -140.972
Space-group type: No. 82
Spin magnetization in μB/atom: 0.02
Energy relative to the elements in eV/atom: -0.26
Density of states at the Fermi level in states/eV per atom: 6.3118

Cell lengths 8.158, 8.158, 8.158 Å; angles 109.61, 109.61, 109.20 degrees
Fractional coordinates of all 14 atoms:
Pu  0.129  0.391  0.111
Pu  0.131  0.390  0.593
Pu  0.280  0.018  0.889
Pu  0.463  0.869  0.259
Pu  0.609  0.720  0.738
Pu  0.610  0.204  0.741
Pu  0.796  0.537  0.407
Pu  0.982  0.871  0.262
Bi  0.379  0.250  0.369
Bi  0.500  0.500  0.000
Bi  0.750  0.119  0.129
Bi  0.881  0.009  0.631
Bi  0.991  0.621  0.871
Au  0.250  0.750  0.500

***

[7]
Computed, not measured: Pu2BiAu after structural relaxation at the PBE level of DFT.

Output
Total DFT energy (no corrections) in eV/cell: -37.255
Space-group type: No. 123
E above lowest polymorph in kJ/mol of formula units: 6
Spin magnetization in μB/atom: 2.94
Energy relative to the elements in eV/atom: -0.36
Density of states at the Fermi level in states/eV per atom: 4.5106

Cell lengths 3.704, 3.704, 7.728 Å; angles 90.00, 90.00, 90.00 degrees
Fractional coordinates of all 4 atoms:
Pu  0.000  0.000  0.228
Pu  0.000  0.000  0.772
Bi  0.500  0.500  0.500
Au  0.500  0.500  0.000

***

[8]
Computed, not measured: PuBiAu2 after structural relaxation at the PBE level of DFT.

Output
Total DFT energy (no corrections) in eV/cell: -25.466
Space-group type: No. 160
Spin magnetization in μB/atom: 1.35
Energy relative to the elements in eV/atom: -0.17
Density of states at the Fermi level in states/eV per atom: 3.9153

Cell lengths 6.598, 6.598, 6.598 Å; angles 40.71, 40.71, 40.71 degrees
Fractional coordinates of all 4 atoms:
Pu  0.000  0.000  0.000
Bi  0.187  0.187  0.187
Au  0.417  0.417  0.417
Au  0.581  0.581  0.581

***

[9]
Computed, not measured: PuBiAu after structural relaxation at the PBE level of DFT.

Output
Total DFT energy (no corrections) in eV/cell: -44.788
Space-group type: No. 63
Spin magnetization in μB/atom: 1.93
Energy relative to the elements in eV/atom: -0.30
Density of states at the Fermi level in states/eV per atom: 3.9213

Cell lengths 8.077, 8.077, 4.955 Å; angles 90.00, 90.00, 150.55 degrees
Fractional coordinates of all 6 atoms:
Pu  0.088  0.912  0.750
Pu  0.912  0.088  0.250
Bi  0.235  0.765  0.250
Bi  0.765  0.235  0.750
Au  0.442  0.558  0.750
Au  0.558  0.442  0.250

***

[10]
Computed, not measured: Pu5Bi3Au after structural relaxation at the PBE level of DFT.

Output
Total DFT energy (no corrections) in eV/cell: -180.338
Space-group type: No. 193
Spin magnetization in μB/atom: 3.33
Energy relative to the elements in eV/atom: -0.40
Density of states at the Fermi level in states/eV per atom: 5.2961

Cell lengths 9.555, 9.555, 6.481 Å; angles 90.00, 90.00, 120.00 degrees
Fractional coordinates of all 18 atoms:
Pu  0.000  0.276  0.250
Pu  0.000  0.724  0.750
Pu  0.276  0.000  0.250
Pu  0.276  0.276  0.750
Pu  0.333  0.667  0.000
Pu  0.333  0.667  0.500
Pu  0.667  0.333  0.000
Pu  0.667  0.333  0.500
Pu  0.724  0.000  0.750
Pu  0.724  0.724  0.250
Bi  0.000  0.378  0.750
Bi  0.000  0.622  0.250
Bi  0.378  0.000  0.750
Bi  0.378  0.378  0.250
Bi  0.622  0.000  0.250
Bi  0.622  0.622  0.750
Au  0.000  0.000  0.000
Au  0.000  0.000  0.500

***

[11]
Computed, not measured: Pu3Bi4Au3 after structural relaxation at the PBE level of DFT.

Output
Total DFT energy (no corrections) in eV/cell: -143.864
Space-group type: No. 82
Spin magnetization in μB/atom: 1.05
Energy relative to the elements in eV/atom: -0.36
Density of states at the Fermi level in states/eV per atom: 4.3786

Cell lengths 8.894, 8.894, 8.894 Å; angles 109.45, 109.45, 109.51 degrees
Fractional coordinates of all 20 atoms:
Pu  0.000  0.000  0.000
Pu  0.249  0.624  0.125
Pu  0.376  0.500  0.625
Pu  0.500  0.125  0.875
Pu  0.750  0.250  0.500
Pu  0.875  0.751  0.375
Bi  0.125  0.191  0.750
Bi  0.126  0.692  0.750
Bi  0.308  0.058  0.433
Bi  0.441  0.376  0.250
Bi  0.624  0.874  0.567
Bi  0.624  0.875  0.065
Bi  0.809  0.559  0.935
Bi  0.942  0.376  0.250
Au  0.000  0.126  0.376
Au  0.250  0.750  0.500
Au  0.376  0.000  0.126
Au  0.500  0.500  0.000
Au  0.751  0.624  0.624
Au  0.874  0.249  0.874

***

[12]
Computed, not measured: PuBiAu2 after structural relaxation at the PBE level of DFT.

Output
Total DFT energy (no corrections) in eV/cell: -25.929
Space-group type: No. 123
Spin magnetization in μB/atom: 1.38
Energy relative to the elements in eV/atom: -0.29
Density of states at the Fermi level in states/eV per atom: 3.4561

Cell lengths 3.841, 3.841, 6.598 Å; angles 90.00, 90.00, 90.00 degrees
Fractional coordinates of all 4 atoms:
Pu  0.000  0.000  0.000
Bi  0.000  0.000  0.500
Au  0.500  0.500  0.234
Au  0.500  0.500  0.766